## one
Below is Rb2NaI after structural relaxation, with properties calculated at the PBE level.

Output
crystal system: trigonal

Cell and atoms, written as extended XYZ:
```
4
Lattice="4.813 0.000 0.000 2.407 4.169 0.000 2.407 1.390 12.844" Properties=species:S:1:pos:R:3 pbc="T T T"
Rb 7.220 4.169 4.019
Rb 2.407 1.390 8.825
I 4.813 2.779 6.422
Na 0.000 0.000 0.000
```


## two
Below is Rb2NaI after structural relaxation, with properties calculated at the PBE level.

Output
crystal system: trigonal

Cell and atoms, written as extended XYZ:
```
4
Lattice="-3.502 0.966 -3.629 -3.079 -3.758 -1.662 -9.328 1.574 5.788" Properties=species:S:1:pos:R:3 pbc="T T T"
Na -7.953 -0.610 0.247
I -4.391 -1.860 -3.524
Rb -7.820 1.044 4.191
Rb -3.700 -0.402 -0.169
```


Which is the most stable structure? two is the most stable.


## one
Below is RbNaI3 after structural relaxation, with properties calculated at the PBE level.

Output
crystal system: cubic

Cell and atoms, written as extended XYZ:
```
5
Lattice="-3.577 2.581 4.258 -3.516 -5.022 0.091 3.526 -2.389 4.410" Properties=species:S:1:pos:R:3 pbc="T T T"
I 1.763 -1.195 2.205
I -1.788 1.291 2.129
I -1.758 -2.511 0.045
Rb -1.784 -2.415 4.380
Na 0.000 0.000 0.000
```


## two
Below is RbNaI3 after structural relaxation, with properties calculated at the PBE level.

Output
crystal system: cubic

Cell and atoms, written as extended XYZ:
```
5
Lattice="-3.452 1.896 5.641 -0.100 -6.539 2.136 5.951 0.990 3.308" Properties=species:S:1:pos:R:3 pbc="T T T"
Na 1.199 -1.827 5.543
I -0.050 -3.270 1.068
I 2.975 0.495 1.654
I -1.726 0.948 2.821
Rb 0.000 0.000 0.000
```


Which is the most stable structure? one is the most stable.


## one
Below is RbNaSb2I after structural relaxation, with properties calculated at the PBE level.

Output
crystal system: tetragonal

Cell and atoms, written as extended XYZ:
```
5
Lattice="-2.928 4.071 -4.165 -5.791 -1.542 2.564 0.643 5.065 4.499" Properties=species:S:1:pos:R:3 pbc="T T T"
Na -4.038 3.797 1.449
Sb -1.464 2.036 -2.082
Sb -2.896 -0.771 1.282
Rb 0.000 0.000 0.000
I 0.322 2.533 2.250
```


## two
Below is RbNaSb2I after structural relaxation, with properties calculated at the PBE level.

Output
crystal system: tetragonal

Cell and atoms, written as extended XYZ:
```
5
Lattice="-5.368 -0.012 -1.783 0.794 -5.081 -2.354 -1.855 -2.886 5.603" Properties=species:S:1:pos:R:3 pbc="T T T"
Sb 0.397 -2.541 -1.177
Sb -2.684 -0.006 -0.891
I -0.927 -1.443 2.802
Na 0.000 0.000 0.000
Rb -3.214 -3.990 0.733
```


Which is the most stable structure? two is the most stable.


## one
Below is Rb2NaSnI6 after structural relaxation, with properties calculated at the PBE level.

Output
crystal system: cubic

Cell and atoms, written as extended XYZ:
```
10
Lattice="-3.964 6.641 3.951 -0.051 -4.462 7.450 3.457 3.478 7.168" Properties=species:S:1:pos:R:3 pbc="T T T"
I -1.010 -1.741 6.592
I -3.005 3.919 4.809
I -3.030 1.644 8.606
I 0.778 2.307 6.448
I -0.984 0.534 2.795
I -1.335 3.349 12.120
Rb -1.257 5.604 8.410
Rb 0.700 0.052 10.159
Na -2.007 1.089 5.700
Sn 0.000 0.000 0.000
```


## two
Below is Rb2NaSnI6 after structural relaxation, with properties calculated at the PBE level.

Output
crystal system: trigonal

Cell and atoms, written as extended XYZ:
```
20
Lattice="-3.234 -1.791 -7.600 4.703 -4.031 -5.751 -4.535 -15.367 0.852" Properties=species:S:1:pos:R:3 pbc="T T T"
Rb 0.088 -3.015 -4.026
Rb -3.154 -18.175 -8.473
Rb -0.573 -11.277 -11.197
Rb -2.494 -9.912 -1.303
I -1.209 -8.075 -4.589
I -1.393 -16.804 -4.846
I -1.673 -4.385 -7.653
I -2.855 -8.986 -8.458
I 2.241 -5.490 -6.741
I -3.713 -14.816 -2.010
I 0.646 -6.373 -10.489
I -0.211 -12.203 -4.041
I -4.251 -11.063 -4.983
I -5.307 -15.700 -5.758
I -1.857 -13.115 -7.910
I 1.185 -10.126 -7.517
Sn 0.000 0.000 0.000
Sn -1.533 -10.595 -6.250
Na -0.292 -7.279 -7.559
Na -2.774 -13.910 -4.940
```


Which is the most stable structure? two is the most stable.